Record 1
# NaB3Cl GGA-PBEsol relaxed
# Uncorrected energy, eV/atom: -2.081
# Formation energy from raw total energies, eV/atom: 2.811
# Density, g cm⁻³: 1.50
data_NaB3Cl
_chemical_formula_sum 'Na1 B3 Cl1'
_cell_length_a 4.6483
_cell_length_b 4.6483
_cell_length_c 4.6483
_cell_angle_alpha 90.00
_cell_angle_beta 90.00
_cell_angle_gamma 90.00
_space_group_name_H-M_alt 'P m -3 m'
_space_group_IT_number 221
_space_group_name_Hall '-P 4 2 3'
loop_
_atom_site_label
_atom_site_type_symbol
_atom_site_fract_x
_atom_site_fract_y
_atom_site_fract_z
_atom_site_occupancy
Na1 Na 0.0000 0.0000 0.0000 1
B1 B 0.0000 0.0000 0.5000 1
Cl1 Cl 0.5000 0.5000 0.5000 1


Record 2
# VCoP2O8 GGA-PBEsol relaxed
# Uncorrected energy, eV/atom: -7.845
# Formation energy from raw total energies, eV/atom: -1.932
# Density, g cm⁻³: 3.71
data_VCoP2O8
_chemical_formula_sum 'V2 Co2 P4 O16'
_cell_length_a 4.7895
_cell_length_b 5.7590
_cell_length_c 9.7373
_cell_angle_alpha 90.00
_cell_angle_beta 90.72
_cell_angle_gamma 90.00
_space_group_name_H-M_alt 'P 1 21/m 1'
_space_group_IT_number 11
loop_
_space_group_symop_operation_xyz
'x,y,z'
'-x,-y,-z'
'-x,y+1/2,-z'
'x,-y+1/2,z'
loop_
_atom_site_label
_atom_site_type_symbol
_atom_site_fract_x
_atom_site_fract_y
_atom_site_fract_z
_atom_site_occupancy
V1 V 0.0282 0.2500 0.2293 1
Co1 Co 0.4621 0.2500 0.7322 1
P1 P 0.0782 0.7500 0.0949 1
P2 P 0.3896 0.7500 0.5944 1
O1 O 0.1520 0.7500 0.9396 1
O2 O 0.2258 0.5387 0.1670 1
O3 O 0.2324 0.5454 0.6695 1
O4 O 0.2357 0.2500 0.8923 1
O5 O 0.2987 0.2500 0.3679 1
O6 O 0.3457 0.7500 0.4414 1


Please write out number 1 again, unchanged.
# NaB3Cl GGA-PBEsol relaxed
# Uncorrected energy, eV/atom: -2.081
# Formation energy from raw total energies, eV/atom: 2.811
# Density, g cm⁻³: 1.50
data_NaB3Cl
_chemical_formula_sum 'Na1 B3 Cl1'
_cell_length_a 4.6483
_cell_length_b 4.6483
_cell_length_c 4.6483
_cell_angle_alpha 90.00
_cell_angle_beta 90.00
_cell_angle_gamma 90.00
_space_group_name_H-M_alt 'P m -3 m'
_space_group_IT_number 221
_space_group_name_Hall '-P 4 2 3'
loop_
_atom_site_label
_atom_site_type_symbol
_atom_site_fract_x
_atom_site_fract_y
_atom_site_fract_z
_atom_site_occupancy
Na1 Na 0.0000 0.0000 0.0000 1
B1 B 0.0000 0.0000 0.5000 1
Cl1 Cl 0.5000 0.5000 0.5000 1


Q: The lowest formation energy from raw total energies belongs to which entry?
A: VCoP2O8


Q: What is the formation energy from raw total energies in the second record?
A: -1.932 eV/atom